(1)
Here is a geometry-optimized SbSeO3 structure from Alexandria via LeMat-Bulk. Energies are from PBE-GGA.

Lattice parameters (Å, degrees): 4.0099 4.0099 4.0099 90.00 90.00 90.00
Sites, in units of the cell vectors:
Sb (0.0000, 0.0000, 0.0000)
Se (0.5000, 0.5000, 0.5000)
O (0.0000, 0.5000, 0.5000)
O (0.5000, 0.0000, 0.5000)
O (0.5000, 0.5000, 0.0000)

Values from the calculation:
SG   Pm-3m
ΔE_f (raw)   -0.1760 eV/atom



(2)
Here is a geometry-optimized CdSn structure from Alexandria via LeMat-Bulk. Energies are from PBE-GGA.

Lattice parameters (Å, degrees): 7.9286 7.9286 7.9286 109.47 109.47 109.47
Sites, in units of the cell vectors:
Cd (0.0000, 0.0000, 0.6121)
Cd (0.0000, 0.6121, 0.0000)
Cd (0.3879, 0.3879, 0.3879)
Cd (0.6121, 0.0000, 0.0000)
Sn (0.0000, 0.0000, 0.2488)
Sn (0.0000, 0.2488, 0.0000)
Sn (0.2488, 0.0000, 0.0000)
Sn (0.7512, 0.7512, 0.7512)

Values from the calculation:
Formation energy   0.703 eV/f.u.
SG   I-43m



(3)
Here is a geometry-optimized CeGdPt2 structure from Alexandria via LeMat-Bulk. Energies are from PBE-GGA.

Lattice parameters (Å, degrees): 5.0262 5.0262 5.0262 60.00 60.00 60.00
Sites, in units of the cell vectors:
Ce (0.0000, 0.0000, 0.0000)
Gd (0.5000, 0.5000, 0.5000)
Pt (0.2500, 0.2500, 0.2500)
Pt (0.7500, 0.7500, 0.7500)

Values from the calculation:
Formation energy   -4.220 eV/f.u.
SG   Fm-3m
Distance to the lowest polymorph of the same formula   0.045 eV/atom